A relaxed Dy3Co2Si4 crystal. Source: the Alexandria database, functional GGA-PBE.

Structure (CIF):
```
data_Dy3Co2Si4
_symmetry_space_group_name_H-M 'P 1'
_symmetry_Int_Tables_number 1
_cell_length_a 4.027
_cell_length_b 5.641
_cell_length_c 7.841
_cell_angle_alpha 105.80
_cell_angle_beta 90.00
_cell_angle_gamma 110.92
loop_
_symmetry_equiv_pos_as_xyz
'x,y,z'
loop_
_atom_site_label
_atom_site_type_symbol
_atom_site_fract_x
_atom_site_fract_y
_atom_site_fract_z
Si1 Si 0.894 0.789 0.597
Si2 Si 0.106 0.211 0.403
Si3 Si 0.718 0.436 0.080
Si4 Si 0.282 0.564 0.920
Co1 Co 0.693 0.387 0.368
Co2 Co 0.307 0.613 0.632
Dy1 Dy 0.384 0.767 0.307
Dy2 Dy 0.616 0.233 0.693
Dy3 Dy 0.000 0.000 0.000
```

Output
Energy above the most stable polymorph in this dataset = 0.000 eV per atom
Fermi-level density of states = 0.58 states/eV/atom
Formation energy (no corrections) = -0.771 eV per atom
Uncorrected energy = -6.294 eV/atom